Computed, not measured: a relaxed TcHBrO2 crystal at the GGA-PBEsol level of DFT.

Cell lengths 3.7146, 3.7146, 5.2118 Å; angles 90.00, 90.00, 90.00 degrees
Fractional positions:
Tc  0.0000  0.0000  0.0000
H  0.5000  0.5000  0.0000
Br  0.0000  0.0000  0.5000
O  0.0000  0.5000  0.5000
O  0.5000  0.0000  0.5000

## Properties
total magnetization	0.74	μB/atom
DFT total energy	-19.76	eV/cell